A geometry-optimized TcSb2Ru structure, computed with GGA-PBE.

```
data_TcSb2Ru
_cell_length_a 9.6185
_cell_length_b 3.2798
_cell_length_c 4.6368
_cell_angle_alpha 90.00
_cell_angle_beta 102.99
_cell_angle_gamma 90.00
_space_group_name_H-M_alt 'C 1 m 1'
_space_group_IT_number 8
loop_
_space_group_symop_operation_xyz
'x,y,z'
'x,-y,z'
'x+1/2,y+1/2,z'
'x+1/2,-y+1/2,z'
loop_
_atom_site_label
_atom_site_type_symbol
_atom_site_fract_x
_atom_site_fract_y
_atom_site_fract_z
Tc1 Tc 0.0000 0.0000 0.0000
Sb1 Sb 0.2326 0.5000 0.0965
Sb2 Sb 0.4905 0.0000 0.4915
Ru1 Ru 0.2255 0.0000 0.5932
```

ΔE_f (raw), eV/atom: 0.0910
Mass density, g cm⁻³: 10.3
Raw total energy, eV per cell: -55.05
Excess energy over the best structure of this formula in the dataset, eV/f.u.: 0.00